Record 1
A plane-wave DFT calculation with PBE with a Hubbard U was carried out for a relaxed structure of P2WCO.

Summary:
Uncorrected energy ... -0.3895 Ry per atom

Lattice parameters (Å, degrees): 3.895 3.895 3.808 90.00 90.00 90.00
Space group P4/mmm (No. 123)
Symmetry-distinct sites (fractional):
P 0.000 0.500 0.000 (multiplicity 2)
W 0.000 0.000 0.500 (multiplicity 1)
C 0.500 0.500 0.000 (multiplicity 1)
O 0.500 0.500 0.500 (multiplicity 1)

***

Record 2
A plane-wave DFT calculation with PBE with a Hubbard U was carried out for a relaxed structure of P2WCO.

Summary:
Uncorrected energy ... -0.3821 Ry per atom

Lattice parameters (Å, degrees): 4.837 4.837 3.786 90.00 90.00 90.00
Space group P4/mmm (No. 123)
Symmetry-distinct sites (fractional):
P 0.000 0.500 0.000 (multiplicity 2)
W 0.000 0.000 0.000 (multiplicity 1)
C 0.500 0.500 0.500 (multiplicity 1)
O 0.000 0.000 0.500 (multiplicity 1)

***

Calculated values (meV/atom) of ΔE to the lowest computed polymorph for the records, taken in order: 0, 101.